Computed, not measured: crystalline Er6TlSe5 at its relaxed geometry at the PBE level of DFT.

Lattice parameters (Å, degrees): 7.102 7.121 7.097 59.89 80.49 70.77
Element x y z (fractional)
Tl (0.000, 0.000, 0.000)
Se (0.500, 0.166, 0.668)
Se (0.000, 0.333, 0.334)
Se (0.500, 0.500, 0.000)
Se (0.000, 0.667, 0.666)
Se (0.500, 0.834, 0.332)
Er (0.747, 0.084, 0.338)
Er (0.253, 0.578, 0.338)
Er (0.251, 0.254, 0.000)
Er (0.749, 0.746, 0.000)
Er (0.747, 0.422, 0.662)
Er (0.253, 0.916, 0.662)

- Total moment: 0.00 μB/f.u.
- Uncorrected formation energy: -1.46 eV/atom
- Uncorrected energy: -64.7 eV for the cell shown
- Space-group type: C2/m (12)


Computed, not measured: crystalline YTaRhBr2 at its relaxed geometry at the PBE level of DFT.

Lattice parameters (Å, degrees): 4.983 5.023 4.983 90.00 90.00 90.00
Element x y z (fractional)
Y (0.500, 0.500, 0.500)
Rh (0.000, 0.500, 0.000)
Br (0.000, 0.000, 0.500)
Br (0.500, 0.000, 0.000)
Ta (0.000, 0.000, 0.000)

- Total moment: 0.00 μB/f.u.
- Uncorrected formation energy: 0.20 eV/atom
- Uncorrected energy: -28.0 eV for the cell shown
- Space-group type: P4/mmm (123)


Computed, not measured: crystalline Ca3Dy2PuSe6 at its relaxed geometry at the PBE level of DFT.

Lattice parameters (Å, degrees): 7.164 7.164 7.243 99.49 99.49 120.03
Each line ends with the local moment (μB).
Element x y z (fractional)
Ca (0.165, 0.835, 0.500)  0.01
Ca (0.835, 0.165, 0.500)  0.01
Ca (0.500, 0.500, 0.500)  0.02
Dy (0.333, 0.667, 0.000)  0.11
Dy (0.667, 0.333, 0.000)  0.11
Pu (0.000, 0.000, 0.000)  5.50
Se (0.918, 0.579, 0.753)  -0.01
Se (0.744, 0.744, 0.246)  -0.01
Se (0.082, 0.421, 0.247)  -0.01
Se (0.579, 0.918, 0.753)  -0.01
Se (0.256, 0.256, 0.754)  -0.01
Se (0.421, 0.082, 0.247)  -0.01

- Total moment: 6.24 μB/f.u.
- Uncorrected formation energy: -1.83 eV/atom
- Uncorrected energy: -72.4 eV for the cell shown
- Space-group type: C2/m (12)


Computed, not measured: crystalline KCu2SeS at its relaxed geometry at the PBE level of DFT.

Lattice parameters (Å, degrees): 3.965 6.711 10.945 108.81 90.00 90.00
Element x y z (fractional)
K (0.750, 0.304, 0.116)
K (0.250, 0.696, 0.884)
Cu (0.250, 0.954, 0.240)
Cu (0.250, 0.590, 0.555)
Cu (0.750, 0.410, 0.445)
Cu (0.750, 0.046, 0.760)
Se (0.750, 0.805, 0.143)
Se (0.250, 0.195, 0.857)
S (0.750, 0.710, 0.636)
S (0.250, 0.290, 0.364)

- Total moment: 0.00 μB/f.u.
- Uncorrected formation energy: -0.46 eV/atom
- Uncorrected energy: -38.4 eV for the cell shown
- Space-group type: P2_1/m (11)


Computed, not measured: crystalline TbNiBiRh at its relaxed geometry at the PBE level of DFT.

Lattice parameters (Å, degrees): 4.776 4.776 4.776 60.00 60.00 60.00
Element x y z (fractional)
Rh (0.750, 0.750, 0.750)
Tb (0.000, 0.000, 0.000)
Bi (0.500, 0.500, 0.500)
Ni (0.250, 0.250, 0.250)

- Total moment: 0.00 μB/f.u.
- Uncorrected energy: -23.2 eV for the cell shown
- Formation enthalpy at 0 K: -1.60 eV per formula unit
- Space-group type: F-43m (216)


Computed, not measured: crystalline Li4PuCd at its relaxed geometry at the PBE level of DFT.

Lattice parameters (Å, degrees): 5.560 5.560 5.560 60.00 60.00 60.00
Each line ends with the local moment (μB).
Element x y z (fractional)
Cd (0.000, 0.000, 0.000)  -0.01
Li (0.627, 0.627, 0.118)  0.01
Li (0.627, 0.118, 0.627)  0.01
Li (0.627, 0.627, 0.627)  0.01
Li (0.118, 0.627, 0.627)  0.01
Pu (0.250, 0.250, 0.250)  5.52

- Total moment: 5.91 μB/f.u.
- Uncorrected energy: -22.2 eV for the cell shown
- Formation enthalpy at 0 K: 0.71 eV per formula unit
- Space-group type: F-43m (216)


Computed, not measured: crystalline Zn6CdIr5 at its relaxed geometry at the PBE level of DFT.

Lattice parameters (Å, degrees): 4.303 6.237 7.492 114.60 106.69 90.00
Element x y z (fractional)
Zn (0.174, 0.433, 0.347)
Zn (0.173, 0.914, 0.347)
Zn (0.500, 0.268, 0.000)
Zn (0.500, 0.732, 0.000)
Zn (0.827, 0.086, 0.653)
Zn (0.826, 0.567, 0.653)
Ir (0.342, 0.842, 0.684)
Ir (0.666, 0.666, 0.332)
Ir (0.000, 0.500, 0.000)
Ir (0.334, 0.334, 0.668)
Ir (0.658, 0.158, 0.316)
Cd (0.000, 0.000, 0.000)

- Total moment: 0.00 μB/f.u.
- Uncorrected energy: -54.5 eV for the cell shown
- Formation enthalpy at 0 K: -1.60 eV per formula unit
- Space-group type: Immm (71)


Computed, not measured: crystalline InSiAu2 at its relaxed geometry at the PBE level of DFT.

Lattice parameters (Å, degrees): 5.460 5.460 5.460 144.18 123.21 68.99
Element x y z (fractional)
Au (0.981, 0.981, 0.000)
Au (0.241, 0.741, 0.500)
In (0.507, 0.507, 0.000)
Si (0.771, 0.271, 0.500)

- Total moment: 0.00 μB/f.u.
- Uncorrected formation energy: 0.14 eV/atom
- Uncorrected energy: -14.2 eV for the cell shown
- Space-group type: Imm2 (44)


Computed, not measured: crystalline DyTmScCd at its relaxed geometry at the PBE level of DFT.

Lattice parameters (Å, degrees): 3.528 3.528 8.635 90.00 90.00 90.00
Element x y z (fractional)
Dy (0.500, 0.500, 0.814)
Tm (0.500, 0.500, 0.330)
Sc (0.000, 0.000, 0.074)
Cd (0.000, 0.000, 0.568)

- Total moment: 0.00 μB/f.u.
- Polymorph energy (0 for the lowest one): 0 meV/atom
- Uncorrected energy: -16.8 eV for the cell shown
- Formation enthalpy at 0 K: -0.53 eV per formula unit
- Space-group type: P4mm (99)


Computed, not measured: crystalline InCuP2 at its relaxed geometry at the PBE level of DFT.

Lattice parameters (Å, degrees): 3.336 3.336 6.682 90.00 90.00 90.00
Element x y z (fractional)
Cu (0.500, 0.500, 0.250)
In (0.500, 0.500, 0.750)
P (0.000, 0.000, 0.091)
P (0.000, 0.000, 0.409)

- Total moment: 0.00 μB/f.u.
- Uncorrected energy: -16.7 eV for the cell shown
- Formation enthalpy at 0 K: 0.95 eV per formula unit
- Space-group type: P4/mmm (123)


Computed, not measured: crystalline Pr3Zn2Au7 at its relaxed geometry at the PBE level of DFT.

Lattice parameters (Å, degrees): 4.303 4.303 14.808 98.35 98.35 90.00
Element x y z (fractional)
Pr (0.327, 0.327, 0.653)
Pr (0.673, 0.673, 0.347)
Pr (0.500, 0.500, 0.000)
Zn (0.132, 0.132, 0.263)
Zn (0.868, 0.868, 0.737)
Au (0.000, 0.000, 0.000)
Au (0.919, 0.419, 0.838)
Au (0.419, 0.919, 0.838)
Au (0.081, 0.581, 0.162)
Au (0.581, 0.081, 0.162)
Au (0.221, 0.221, 0.443)
Au (0.779, 0.779, 0.557)

- Total moment: 0.00 μB/f.u.
- Uncorrected energy: -46.2 eV for the cell shown
- Formation enthalpy at 0 K: -6.41 eV per formula unit
- Space-group type: I4/mmm (139)


Computed, not measured: crystalline LaPrNO at its relaxed geometry at the PBE level of DFT.

Lattice parameters (Å, degrees): 3.676 3.676 5.171 90.00 90.00 90.00
Element x y z (fractional)
La (0.000, 0.000, 0.500)
Pr (0.500, 0.500, 0.000)
N (0.000, 0.000, 0.000)
O (0.500, 0.500, 0.500)

- Total moment: 0.00 μB/f.u.
- Uncorrected formation energy: -2.12 eV/atom
- Uncorrected energy: -31.5 eV for the cell shown
- Space-group type: P4/mmm (123)